PBE+U Rb2CrP2O6, relaxed; SG = R-3m, No. 166; total energy = -6.546 eV per atom; spin magnetization = 4.0 Bohr magnetons per cell
1.0
2.890 1.669 5.607
-2.890 1.669 5.607
0.000 -3.337 5.607
Rb Cr P O
2 1 2 6
Direct
0.226 0.226 0.226
0.774 0.774 0.774
0.000 0.000 0.000
0.433 0.433 0.433
0.567 0.567 0.567
0.260 0.260 0.707
0.260 0.707 0.260
0.293 0.740 0.740
0.707 0.260 0.260
0.740 0.293 0.740
0.740 0.740 0.293